1.
Zr2AlZn | Alexandria via LeMat-Bulk | SCAN | PBEsol geometry; E_form = -0.40 eV/atom; E_tot = -84.28 eV per cell
1.0
2.998 0.000 0.000
0.000 5.028 0.006
0.000 -1.388 4.833
Zn Al Zr
1 1 2
direct
0.500 0.500 0.500
0.500 0.000 0.000
0.000 0.500 0.000
0.000 0.000 0.500

2.
AlCu2B | Alexandria via LeMat-Bulk | SCAN | PBEsol geometry; E_form = 0.37 eV/atom; E_tot = -44.10 eV per cell
1.0
3.912 0.000 0.000
1.956 3.388 0.000
1.956 1.129 3.194
B Al Cu
1 1 2
direct
0.000 0.000 0.000
0.500 0.500 0.500
0.250 0.250 0.250
0.750 0.750 0.750

3.
MgCdHg | Alexandria via LeMat-Bulk | SCAN | PBEsol geometry; E_form = -0.19 eV/atom; E_tot = -104.13 eV per cell; E above lowest polymorph = 0.9 meV/atom
1.0
4.658 0.000 0.000
2.329 4.034 0.000
2.329 1.345 3.803
Mg Hg Cd
1 1 1
direct
0.000 0.000 0.000
0.250 0.250 0.250
0.500 0.500 0.500

4.
TaBeHg4 | Alexandria via LeMat-Bulk | SCAN | PBEsol geometry; E_form = 1.10 eV/atom; E_tot = -336.99 eV per cell
1.0
5.580 0.000 0.000
2.790 4.832 0.000
2.790 1.611 4.556
Be Hg Ta
1 4 1
direct
0.000 0.000 0.000
0.375 0.375 0.375
0.375 0.375 0.874
0.874 0.375 0.375
0.375 0.874 0.375
0.750 0.750 0.750

5.
DyCdAg2 | Alexandria via LeMat-Bulk | SCAN | PBEsol geometry; E_form = -0.31 eV/atom; E_tot = -142.20 eV per cell
1.0
-0.322 4.745 0.855
-3.186 2.685 -2.446
-3.882 1.792 2.251
Dy Ag Cd
1 2 1
direct
0.500 0.500 0.500
0.250 0.250 0.250
0.750 0.750 0.750
0.000 0.000 0.000

6.
BaYSb3 | Alexandria via LeMat-Bulk | SCAN | PBEsol geometry; E_tot = -181.69 eV per cell; energy relative to the elements, uncorrected = -503 meV/atom
1.0
5.696 0.000 0.000
0.000 5.696 0.000
0.000 0.000 5.696
Y Sb Ba
1 3 1
direct
0.000 0.000 0.000
0.000 0.500 0.000
0.000 0.000 0.500
0.500 0.000 0.000
0.500 0.500 0.500